No. 1
Entry from Alexandria: CdInHg after structural relaxation (PBEsol).

The calculation puts the energy of formation at 0.010 eV/atom.

a b c (Å): 3.2208 4.6770 9.1261
angles (deg): 90.00 90.00 90.00
Closest atoms and distances in Å follow each position.
Space group Imm2 (No. 44)
Inequivalent atoms, fractional coordinates:
Cd (0.0000, 0.0000, 0.0000) x2  5 In 3.04-3.22, 5 Hg 3.05-3.22, 2 Cd 3.22
In (0.0000, 0.0000, 0.3334) x2  5 Hg 3.03-3.23, 5 Cd 3.04-3.22, 2 In 3.22
Hg (0.0000, 0.0000, 0.6655) x2  5 In 3.03-3.23, 5 Cd 3.05-3.22, 2 Hg 3.22

***

No. 2
Entry from Alexandria: CdIn2Hg after structural relaxation (PBEsol).

The energy above the most stable polymorph in this dataset comes out at 0.004 eV per atom. The calculation puts the energy of formation at 0.012 eV/atom.

a b c (Å): 4.6664 4.6664 8.6198
angles (deg): 90.00 90.00 90.00
Closest atoms and distances in Å follow each position.
Space group I-4m2 (No. 119)
Inequivalent atoms, fractional coordinates:
Cd (0.0000, 0.0000, 0.0000) x2  4 Hg 3.18, 8 In 3.18-3.30
In (0.0000, 0.0000, 0.5000) x2  4 In 3.18, 4 Hg 3.18, 4 Cd 3.30
In (0.0000, 0.5000, 0.7500) x2  4 Cd 3.18, 4 In 3.18, 4 Hg 3.30
Hg (0.0000, 0.5000, 0.2500) x2  4 Cd 3.18, 8 In 3.18-3.30

***

No. 3
Entry from Alexandria: CdIn2Hg after structural relaxation (PBEsol).

The energy above the most stable polymorph in this dataset comes out at 0.032 eV per atom. The calculation puts the energy of formation at 0.040 eV/atom.

a b c (Å): 7.2641 7.2641 7.2641
angles (deg): 90.00 90.00 90.00
Closest atoms and distances in Å follow each position.
Space group F-43m (No. 216)
Inequivalent atoms, fractional coordinates:
Cd (0.0000, 0.0000, 0.0000) x4  4 Hg 3.15, 4 In 3.15
In (0.0000, 0.0000, 0.5000) x4  4 Hg 3.15, 4 In 3.15
In (0.2500, 0.2500, 0.2500) x4  4 Cd 3.15, 4 In 3.15
Hg (0.2500, 0.2500, 0.7500) x4  4 Cd 3.15, 4 In 3.15

***

No. 4
Entry from Alexandria: CdInHg after structural relaxation (PBEsol).

The calculation puts the energy of formation at 0.001 eV/atom.

a b c (Å): 6.6930 6.6930 6.6930
angles (deg): 90.00 90.00 90.00
Closest atoms and distances in Å follow each position.
Space group F-43m (No. 216)
Inequivalent atoms, fractional coordinates:
Cd (0.0000, 0.0000, 0.0000) x4  4 Hg 2.90
In (0.0000, 0.0000, 0.5000) x4  4 Hg 2.90
Hg (0.2500, 0.2500, 0.7500) x4  4 Cd 2.90, 4 In 2.90

***

No. 5
Entry from Alexandria: Cd2In2Hg after structural relaxation (PBEsol).

The energy above the most stable polymorph in this dataset comes out at 0.027 eV per atom. The calculation puts the energy of formation at 0.094 eV/atom.

a b c (Å): 4.1400 4.1400 14.6688
angles (deg): 90.00 90.00 90.00
Closest atoms and distances in Å follow each position.
Space group I4/mmm (No. 139)
Inequivalent atoms, fractional coordinates:
Cd (0.0000, 0.5000, 0.2500) x4  4 Cd 2.93, 4 In 3.03
In (0.0000, 0.0000, 0.0989) x4  1 In 2.90, 4 Cd 3.03
Hg (0.0000, 0.0000, 0.5000) x2  8 In 3.27

***

No. 6
Entry from Alexandria: Cd2In2Hg after structural relaxation (PBEsol).

The energy above the most stable polymorph in this dataset comes out at 0.000 eV per atom. The calculation puts the energy of formation at 0.068 eV/atom.

a b c (Å): 8.7822 8.7822 3.1637
angles (deg): 90.00 90.00 90.00
Closest atoms and distances in Å follow each position.
Space group P4/mbm (No. 127)
Inequivalent atoms, fractional coordinates:
Cd (0.1237, 0.3763, 0.0000) x4  6 In 2.95-3.10, 3 Cd 3.07-3.16
In (0.1755, 0.6755, 0.5000) x4  6 Cd 2.95-3.10, 2 In 3.16, 2 Hg 3.24
Hg (0.0000, 0.0000, 0.5000) x2  2 Hg 3.16, 4 In 3.24

***

No. 7
Entry from Alexandria: CdIn2Hg after structural relaxation (PBEsol).

The energy above the most stable polymorph in this dataset comes out at 0.011 eV per atom. The calculation puts the energy of formation at 0.019 eV/atom.

a b c (Å): 3.3579 5.3824 5.2602
angles (deg): 90.00 90.18 90.00
Closest atoms and distances in Å follow each position.
Space group Pm (No. 6)
Inequivalent atoms, fractional coordinates:
Cd (0.0000, 0.0000, 0.0000) x1  6 In 3.09-3.20, 4 Hg 3.28-3.30, 2 Cd 3.36
In (0.0017, 0.5000, 0.6720) x1  4 Hg 3.09-3.15, 2 Cd 3.20, 6 In 3.30-3.36
In (0.4995, 0.0000, 0.4948) x1  4 Cd 3.09-3.15, 2 Hg 3.20, 6 In 3.30-3.36
Hg (0.5040, 0.5000, 0.1663) x1  6 In 3.09-3.20, 4 Cd 3.28-3.30, 2 Hg 3.36

***

No. 8
Entry from Alexandria: Cd2InHgO after structural relaxation (PBEsol).

a b c (Å): 5.5590 5.5590 4.0931
angles (deg): 90.00 90.00 90.00
Closest atoms and distances in Å follow each position.
Space group P4/mmm (No. 123)
Inequivalent atoms, fractional coordinates:
Cd (0.0000, 0.5000, 0.0000) x2  2 Hg 2.78
In (0.0000, 0.0000, 0.5000) x1  8 Cd 3.45
Hg (0.5000, 0.5000, 0.0000) x1  2 O 2.05
O (0.5000, 0.5000, 0.5000) x1  2 Hg 2.05

***

No. 9
Entry from Alexandria: CdIn2HgP after structural relaxation (PBEsol).

The calculation puts the energy of formation at 0.339 eV/atom.

a b c (Å): 5.2951 5.2951 4.9473
angles (deg): 90.00 90.00 90.00
Closest atoms and distances in Å follow each position.
Space group P4/mmm (No. 123)
Inequivalent atoms, fractional coordinates:
Cd (0.0000, 0.0000, 0.0000) x1  8 In 3.62, 4 Hg 3.74
In (0.0000, 0.5000, 0.5000) x2  2 P 2.65
Hg (0.5000, 0.5000, 0.0000) x1  2 P 2.47
P (0.5000, 0.5000, 0.5000) x1  2 Hg 2.47, 4 In 2.65

***

No. 10
Entry from Alexandria: Cd3HgIr after structural relaxation (PBEsol).

The calculation puts the energy of formation at 1.325 eV/atom.

a b c (Å): 5.0676 5.0676 5.0676
angles (deg): 90.00 90.00 90.00
Closest atoms and distances in Å follow each position.
Space group Pm-3m (No. 221)
Inequivalent atoms, fractional coordinates:
Cd (0.0000, 0.0000, 0.5000) x3  2 Hg 2.53
Hg (0.0000, 0.0000, 0.0000) x1  6 Cd 2.53
Ir (0.5000, 0.5000, 0.5000) x1  12 Cd 3.58

***

No. 11
Entry from Alexandria: CdHgIr2 after structural relaxation (PBEsol).

The calculation puts the energy of formation at 0.388 eV/atom.

a b c (Å): 5.6357 9.4687 2.8251
angles (deg): 90.00 118.92 90.00
Closest atoms and distances in Å follow each position.
Space group C2/m (No. 12)
Inequivalent atoms, fractional coordinates:
Cd (0.0000, 0.0000, 0.0000) x2  4 Ir 2.77, 4 Hg 2.82-2.87, 2 Cd 2.83
Hg (0.0000, 0.5000, 0.0000) x2  4 Ir 2.77, 4 Cd 2.82-2.87, 2 Hg 2.83
Ir (0.2500, 0.2500, 0.5000) x4  2 Hg 2.77, 2 Cd 2.77, 6 Ir 2.82-2.87

***

No. 12
Entry from Alexandria: CdHgIr after structural relaxation (PBEsol).

The energy above the most stable polymorph in this dataset comes out at 0.016 eV per atom. The calculation puts the energy of formation at 0.309 eV/atom.

a b c (Å): 2.9534 2.9534 7.0233
angles (deg): 90.00 90.00 120.00
Closest atoms and distances in Å follow each position.
Space group P3m1 (No. 156)
Inequivalent atoms, fractional coordinates:
Cd (0.0000, 0.0000, 0.0000) x1  3 Ir 2.79, 6 Cd 2.95, 3 Hg 3.05
Hg (0.3333, 0.6667, 0.6391) x1  3 Ir 2.85, 6 Hg 2.95, 3 Cd 3.05
Ir (0.6667, 0.3333, 0.3136) x1  3 Cd 2.79, 3 Hg 2.85, 6 Ir 2.95

***

no.,DOS(E_F) (states/eV per atom),E (eV/atom)
1,0.3605,-1.572
2,0.4101,-1.920
3,0.4894,-1.892
4,0.3343,-1.581
5,0.4000,-1.691
6,0.3629,-1.718
7,0.4410,-1.913
8,0.4109,-1.949
9,0.3955,-2.365
10,1.0110,-1.471
11,0.7921,-4.965
12,0.4138,-3.553